No. 1
The following is a DFT calculation (PBE) of a geometry-optimized ZrIn2Ge structure. Values from VASP.

Quantum ESPRESSO input file:
```
&SYSTEM
  ibrav = 0, nat = 4, ntyp = 3
/
ATOMIC_SPECIES
Ge 72.64 Ge.upf
In 114.82 In.upf
Zr 91.22 Zr.upf
CELL_PARAMETERS angstrom
3.1623 -2.1129 3.3054
2.0577 2.7908 3.6561
-1.4315 -0.6646 4.7853
ATOMIC_POSITIONS crystal
Ge 0.7500 0.7500 0.7500
In 0.2500 0.2500 0.2500
In 0.0000 0.0000 0.0000
Zr 0.5000 0.5000 0.5000
```

Values from the calculation:
SG: F-43m
Total magnetization: 0.01 μB/atom
Total energy: -17.986 eV per formula unit

***

No. 2
The following is a DFT calculation (PBE) of a geometry-optimized TbErPO structure. Values from VASP.

Quantum ESPRESSO input file:
```
&SYSTEM
  ibrav = 0, nat = 8, ntyp = 4
/
ATOMIC_SPECIES
Er 167.26 Er.upf
Tb 158.93 Tb.upf
P 30.97 P.upf
O 16.00 O.upf
CELL_PARAMETERS angstrom
3.0367 -3.0367 0.0000
3.0367 3.0367 0.0000
0.0000 0.0000 8.5243
ATOMIC_POSITIONS crystal
Er 0.2500 0.2500 0.0983
Er 0.7500 0.7500 0.9017
Tb 0.2500 0.7500 0.5000
Tb 0.7500 0.2500 0.5000
P 0.7500 0.7500 0.2985
P 0.2500 0.2500 0.7015
O 0.2500 0.7500 0.0000
O 0.7500 0.2500 0.0000
```

Values from the calculation:
SG: P4/nmm
Total magnetization: 0.00 μB/atom
Energy above the most stable polymorph in this dataset: 142.7 meV per atom
Total energy: -27.099 eV per formula unit

***

No. 3
The following is a DFT calculation (PBE) of a geometry-optimized Ga3Pd structure. Values from VASP.

Quantum ESPRESSO input file:
```
&SYSTEM
  ibrav = 0, nat = 16, ntyp = 2
/
ATOMIC_SPECIES
Ga 69.72 Ga.upf
Pd 106.42 Pd.upf
CELL_PARAMETERS angstrom
8.5761 -2.9184 0.0000
8.5761 2.9184 0.0000
0.0000 0.0000 5.8300
ATOMIC_POSITIONS crystal
Ga 0.6594 0.3406 0.6594
Ga 0.3908 0.9606 0.2147
Ga 0.4606 0.8908 0.7147
Ga 0.1594 0.8406 0.8406
Ga 0.5394 0.1092 0.2853
Ga 0.3406 0.6594 0.3406
Ga 0.8406 0.1594 0.1594
Ga 0.8908 0.4606 0.2853
Ga 0.9606 0.3908 0.7853
Ga 0.1092 0.5394 0.7147
Ga 0.0394 0.6092 0.2147
Ga 0.6092 0.0394 0.7853
Pd 0.5842 0.5842 0.0000
Pd 0.0842 0.0842 0.5000
Pd 0.9158 0.9158 0.5000
Pd 0.4158 0.4158 0.0000
```

Values from the calculation:
SG: Cmce
Total energy: -15.491 eV per formula unit

***

No. 4
The following is a DFT calculation (PBE) of a geometry-optimized USiPb structure. Values from VASP.

Quantum ESPRESSO input file:
```
&SYSTEM
  ibrav = 0, nat = 3, ntyp = 3
/
ATOMIC_SPECIES
Pb 207.20 Pb.upf
U 238.03 U.upf
Si 28.09 Si.upf
CELL_PARAMETERS angstrom
0.0000 3.3874 3.3874
3.3874 0.0000 3.3874
3.3874 3.3874 0.0000
ATOMIC_POSITIONS crystal
Pb 0.2500 0.2500 0.2500
U 0.7500 0.7500 0.7500
Si 0.0000 0.0000 0.0000
```

Values from the calculation:
SG: F-43m
Total magnetization: 0.98 μB/atom
Energy above the most stable polymorph in this dataset: 0.0 meV per atom
Total energy: -19.101 eV per formula unit

***

No. 5
The following is a DFT calculation (PBE) of a geometry-optimized CoCuNiBi structure. Values from VASP.

Quantum ESPRESSO input file:
```
&SYSTEM
  ibrav = 0, nat = 4, ntyp = 4
/
ATOMIC_SPECIES
Ni 58.69 Ni.upf
Co 58.93 Co.upf
Bi 208.98 Bi.upf
Cu 63.55 Cu.upf
CELL_PARAMETERS angstrom
2.1125 -0.2724 3.7974
-1.3343 -2.8213 3.0360
2.4002 -3.5172 0.9085
ATOMIC_POSITIONS crystal
Ni 0.7500 0.7500 0.7500
Co 0.5000 0.5000 0.5000
Bi 0.0000 0.0000 0.0000
Cu 0.2500 0.2500 0.2500
```

Values from the calculation:
SG: F-43m
Total magnetization: 0.38 μB/atom
Energy above the most stable polymorph in this dataset: 135.1 meV per atom
Total energy: -18.787 eV per formula unit

***

No. 6
The following is a DFT calculation (PBE) of a geometry-optimized TlInTc structure. Values from VASP.

Quantum ESPRESSO input file:
```
&SYSTEM
  ibrav = 0, nat = 3, ntyp = 3
/
ATOMIC_SPECIES
Tc 98.00 Tc.upf
In 114.82 In.upf
Tl 204.38 Tl.upf
CELL_PARAMETERS angstrom
0.0000 3.2700 3.2700
3.2700 0.0000 3.2700
3.2700 3.2700 0.0000
ATOMIC_POSITIONS crystal
Tc 0.0000 0.0000 0.0000
In 0.2500 0.2500 0.2500
Tl 0.7500 0.7500 0.7500
```

Values from the calculation:
SG: F-43m
Total magnetization: 0.29 μB/atom
Energy above the most stable polymorph in this dataset: 0.0 meV per atom
Total energy: -13.400 eV per formula unit

***

No. 7
The following is a DFT calculation (PBE) of a geometry-optimized Er2FeSi4Pt structure. Values from VASP.

Quantum ESPRESSO input file:
```
&SYSTEM
  ibrav = 0, nat = 8, ntyp = 4
/
ATOMIC_SPECIES
Si 28.09 Si.upf
Er 167.26 Er.upf
Pt 195.08 Pt.upf
Fe 55.84 Fe.upf
CELL_PARAMETERS angstrom
4.0548 0.0000 0.0000
0.0000 2.0086 8.3824
0.0000 -2.0086 8.3824
ATOMIC_POSITIONS crystal
Si 0.5000 0.4680 0.4680
Si 0.0000 0.5448 0.5448
Si 0.5000 0.7396 0.7396
Si 0.0000 0.2414 0.2414
Er 0.0000 0.8979 0.8979
Er 0.5000 0.1040 0.1040
Pt 0.5000 0.3269 0.3269
Fe 0.0000 0.6774 0.6774
```

Values from the calculation:
SG: Amm2
Total magnetization: 0.00 μB/atom
Total energy: -51.491 eV per formula unit

***

No. 8
The following is a DFT calculation (PBE) of a geometry-optimized Zr3CuGe5 structure. Values from VASP.

Quantum ESPRESSO input file:
```
&SYSTEM
  ibrav = 0, nat = 9, ntyp = 3
/
ATOMIC_SPECIES
Ge 72.64 Ge.upf
Zr 91.22 Zr.upf
Cu 63.55 Cu.upf
CELL_PARAMETERS angstrom
-5.6485 -0.6843 0.3649
3.4535 -4.5142 0.4505
0.3316 0.9423 6.9002
ATOMIC_POSITIONS crystal
Ge 0.0000 0.0000 0.5000
Ge 0.3333 0.6667 0.1702
Ge 0.6667 0.3333 0.1702
Ge 0.6667 0.3333 0.8298
Ge 0.3333 0.6667 0.8298
Zr 0.0000 0.5000 0.5000
Zr 0.5000 0.0000 0.5000
Zr 0.5000 0.5000 0.5000
Cu 0.0000 0.0000 0.0000
```

Values from the calculation:
SG: P6/mmm
Total magnetization: 0.00 μB/atom
Total energy: -50.469 eV per formula unit

***

No. 9
The following is a DFT calculation (PBE) of a geometry-optimized HoUCu structure. Values from VASP.

Quantum ESPRESSO input file:
```
&SYSTEM
  ibrav = 0, nat = 3, ntyp = 3
/
ATOMIC_SPECIES
Ho 164.93 Ho.upf
U 238.03 U.upf
Cu 63.55 Cu.upf
CELL_PARAMETERS angstrom
0.0000 3.3350 3.3350
3.3350 0.0000 3.3350
3.3350 3.3350 0.0000
ATOMIC_POSITIONS crystal
Ho 0.2500 0.2500 0.2500
U 0.7500 0.7500 0.7500
Cu 0.0000 0.0000 0.0000
```

Values from the calculation:
SG: F-43m
Total magnetization: 1.09 μB/atom
ΔH_f (0 K): 639 meV/atom
Energy above the most stable polymorph in this dataset: 0.0 meV per atom
Total energy: -17.672 eV per formula unit

***

No. 10
The following is a DFT calculation (PBE) of a geometry-optimized PaZn5 structure. Values from VASP.

Quantum ESPRESSO input file:
```
&SYSTEM
  ibrav = 0, nat = 6, ntyp = 2
/
ATOMIC_SPECIES
Zn 65.41 Zn.upf
Pa 231.04 Pa.upf
CELL_PARAMETERS angstrom
2.6246 4.5460 0.0000
-2.6246 4.5460 0.0000
0.0000 0.0000 4.2231
ATOMIC_POSITIONS crystal
Zn 0.5225 0.0000 0.5000
Zn 0.6667 0.6667 0.0000
Zn 0.0000 0.4775 0.5000
Zn 0.3333 0.3333 0.0000
Zn 0.4775 0.5225 0.5000
Pa 0.0000 0.0000 0.0000
```

Values from the calculation:
SG: P-62m
Total magnetization: 0.03 μB/atom
ΔH_f (0 K): -61 meV/atom
Total energy: -16.183 eV per formula unit

***

No. 11
The following is a DFT calculation (PBE) of a geometry-optimized NdTl3As2 structure. Values from VASP.

Quantum ESPRESSO input file:
```
&SYSTEM
  ibrav = 0, nat = 6, ntyp = 3
/
ATOMIC_SPECIES
As 74.92 As.upf
Tl 204.38 Tl.upf
Nd 144.24 Nd.upf
CELL_PARAMETERS angstrom
4.6382 0.0000 0.0000
-2.3191 4.0168 0.0000
0.0000 0.0000 8.8594
ATOMIC_POSITIONS crystal
As 0.3333 0.6667 0.1623
As 0.6667 0.3333 0.8377
Tl 0.3333 0.6667 0.6879
Tl 0.6667 0.3333 0.3121
Tl 0.0000 0.0000 0.5000
Nd 0.0000 0.0000 0.0000
```

Values from the calculation:
SG: P-3m1
Total magnetization: 0.00 μB/atom
Total energy: -23.214 eV per formula unit

***

No. 12
The following is a DFT calculation (PBE) of a geometry-optimized BaGdPO structure. Values from VASP.

Quantum ESPRESSO input file:
```
&SYSTEM
  ibrav = 0, nat = 8, ntyp = 4
/
ATOMIC_SPECIES
O 16.00 O.upf
Ba 137.33 Ba.upf
Gd 157.25 Gd.upf
P 30.97 P.upf
CELL_PARAMETERS angstrom
-0.4073 0.2892 -4.6043
-7.2107 -2.4245 0.4856
-2.0691 6.2693 0.5768
ATOMIC_POSITIONS crystal
O 0.5000 0.3706 0.3586
O 0.5000 0.6294 0.8586
Ba 0.0000 0.8010 0.9446
Ba 0.0000 0.1990 0.4446
Gd 0.5000 0.3799 0.0250
Gd 0.5000 0.6201 0.5250
P 0.0000 0.2171 0.9258
P 0.0000 0.7829 0.4258
```

Values from the calculation:
SG: Pmc2_1
Total magnetization: 0.00 μB/atom
Energy above the most stable polymorph in this dataset: 0.0 meV per atom
Total energy: -25.025 eV per formula unit

***

No. 13
The following is a DFT calculation (PBE) of a geometry-optimized HoTcPd structure. Values from VASP.

Quantum ESPRESSO input file:
```
&SYSTEM
  ibrav = 0, nat = 3, ntyp = 3
/
ATOMIC_SPECIES
Pd 106.42 Pd.upf
Ho 164.93 Ho.upf
Tc 98.00 Tc.upf
CELL_PARAMETERS angstrom
0.8920 -4.3938 -0.6746
-3.3886 -3.0101 -0.1114
-1.1526 -1.9719 -3.9165
ATOMIC_POSITIONS crystal
Pd 0.2500 0.2500 0.2500
Ho 0.0000 0.0000 0.0000
Tc 0.7500 0.7500 0.7500
```

Values from the calculation:
SG: F-43m
Total magnetization: 0.76 μB/atom
ΔH_f (0 K): 682 meV/atom
Energy above the most stable polymorph in this dataset: 421.9 meV per atom
Total energy: -18.066 eV per formula unit

***

No. 14
The following is a DFT calculation (PBE) of a geometry-optimized SmBeB4 structure. Values from VASP.

Quantum ESPRESSO input file:
```
&SYSTEM
  ibrav = 0, nat = 6, ntyp = 3
/
ATOMIC_SPECIES
B 10.81 B.upf
Sm 150.36 Sm.upf
Be 9.01 Be.upf
CELL_PARAMETERS angstrom
-0.1650 3.0519 0.5985
-2.4873 -1.8152 0.4673
2.0571 -1.1558 6.4604
ATOMIC_POSITIONS crystal
B 0.6667 0.3333 0.6960
B 0.3333 0.6667 0.3040
B 0.6667 0.3333 0.3040
B 0.3333 0.6667 0.6960
Sm 0.0000 0.0000 0.0000
Be 0.0000 0.0000 0.5000
```

Values from the calculation:
SG: P6/mmm
Total magnetization: 0.00 μB/atom
Energy above the most stable polymorph in this dataset: 0.0 meV per atom
Total energy: -35.531 eV per formula unit

***

No. 15
The following is a DFT calculation (PBE) of a geometry-optimized MgB2Mo structure. Values from VASP.

Quantum ESPRESSO input file:
```
&SYSTEM
  ibrav = 0, nat = 4, ntyp = 3
/
ATOMIC_SPECIES
B 10.81 B.upf
Mo 95.94 Mo.upf
Mg 24.30 Mg.upf
CELL_PARAMETERS angstrom
0.0000 2.8216 2.8216
2.8216 0.0000 2.8216
2.8216 2.8216 0.0000
ATOMIC_POSITIONS crystal
B 0.0000 0.0000 0.0000
B 0.7500 0.7500 0.7500
Mo 0.2500 0.2500 0.2500
Mg 0.5000 0.5000 0.5000
```

Values from the calculation:
SG: F-43m
Total magnetization: 0.00 μB/atom
Total energy: -20.155 eV per formula unit

***

No. 16
The following is a DFT calculation (PBE) of a geometry-optimized CsScTc structure. Values from VASP.

Quantum ESPRESSO input file:
```
&SYSTEM
  ibrav = 0, nat = 3, ntyp = 3
/
ATOMIC_SPECIES
Cs 132.91 Cs.upf
Tc 98.00 Tc.upf
Sc 44.96 Sc.upf
CELL_PARAMETERS angstrom
0.0000 3.4672 3.4672
3.4672 0.0000 3.4672
3.4672 3.4672 0.0000
ATOMIC_POSITIONS crystal
Cs 0.2500 0.2500 0.2500
Tc 0.7500 0.7500 0.7500
Sc 0.0000 0.0000 0.0000
```

Values from the calculation:
SG: F-43m
Total magnetization: 0.34 μB/atom
Energy above the most stable polymorph in this dataset: 0.0 meV per atom
Total energy: -12.387 eV per formula unit

***

No. 17
The following is a DFT calculation (PBE) of a geometry-optimized KAlPd structure. Values from VASP.

Quantum ESPRESSO input file:
```
&SYSTEM
  ibrav = 0, nat = 3, ntyp = 3
/
ATOMIC_SPECIES
Pd 106.42 Pd.upf
Al 26.98 Al.upf
K 39.10 K.upf
CELL_PARAMETERS angstrom
-4.8538 -0.9234 -0.9090
-3.5129 3.2058 1.6188
-2.5225 2.8346 -3.2924
ATOMIC_POSITIONS crystal
Pd 0.7500 0.7500 0.7500
Al 0.2500 0.2500 0.2500
K 0.0000 0.0000 0.0000
```

Values from the calculation:
SG: F-43m
Energy above the most stable polymorph in this dataset: 657.2 meV per atom
Total energy: -7.366 eV per formula unit

***

No. 18
The following is a DFT calculation (PBE) of a geometry-optimized BaHgW structure. Values from VASP.

Quantum ESPRESSO input file:
```
&SYSTEM
  ibrav = 0, nat = 3, ntyp = 3
/
ATOMIC_SPECIES
Hg 200.59 Hg.upf
Ba 137.33 Ba.upf
W 183.84 W.upf
CELL_PARAMETERS angstrom
-0.6856 -4.9062 1.6477
-3.3301 -3.1511 -2.4974
1.8118 -3.9859 -2.8437
ATOMIC_POSITIONS crystal
Hg 0.0000 0.0000 0.0000
Ba 0.2500 0.2500 0.2500
W 0.7500 0.7500 0.7500
```

Values from the calculation:
SG: F-43m
Total magnetization: 1.24 μB/atom
Energy above the most stable polymorph in this dataset: 0.0 meV per atom
Total energy: -10.961 eV per formula unit

***

No. 19
The following is a DFT calculation (PBE) of a geometry-optimized ReTcPd structure. Values from VASP.

Quantum ESPRESSO input file:
```
&SYSTEM
  ibrav = 0, nat = 3, ntyp = 3
/
ATOMIC_SPECIES
Re 186.21 Re.upf
Tc 98.00 Tc.upf
Pd 106.42 Pd.upf
CELL_PARAMETERS angstrom
0.0000 2.9705 2.9705
2.9705 0.0000 2.9705
2.9705 2.9705 0.0000
ATOMIC_POSITIONS crystal
Re 0.0000 0.0000 0.0000
Tc 0.7500 0.7500 0.7500
Pd 0.2500 0.2500 0.2500
```

Values from the calculation:
SG: F-43m
Total magnetization: 0.01 μB/atom
ΔH_f (0 K): 588 meV/atom
Energy above the most stable polymorph in this dataset: 0.0 meV per atom
Total energy: -26.194 eV per formula unit

***

No. 20
The following is a DFT calculation (PBE) of a geometry-optimized LiMgZnSi structure. Values from VASP.

Quantum ESPRESSO input file:
```
&SYSTEM
  ibrav = 0, nat = 4, ntyp = 4
/
ATOMIC_SPECIES
Si 28.09 Si.upf
Zn 65.41 Zn.upf
Li 6.94 Li.upf
Mg 24.30 Mg.upf
CELL_PARAMETERS angstrom
0.0000 3.1847 3.1847
3.1847 0.0000 3.1847
3.1847 3.1847 0.0000
ATOMIC_POSITIONS crystal
Si 0.2500 0.2500 0.2500
Zn 0.7500 0.7500 0.7500
Li 0.0000 0.0000 0.0000
Mg 0.5000 0.5000 0.5000
```

Values from the calculation:
SG: F-43m
Energy above the most stable polymorph in this dataset: 0.0 meV per atom
Total energy: -10.410 eV per formula unit